The following is a PBE-GGA calculation of an optimized crystal structure of Ce2AlSi3Ni12, from the Alexandria database.

It has space group R-3m (No. 166, hexagonal axes), with a = 8.3442 Å, b = 8.3442 Å, c = 12.0296 Å, α = 90.00°, β = 90.00° and γ = 120.00°. The inequivalent atoms are Ce at (0.0000, 0.0000, 0.1514), Al at (0.0000, 0.0000, 0.5000), Si at (0.0000, 0.5000, 0.0000), Ni at (0.0066, 0.5033, 0.1934) and Ni at (0.0177, 0.5089, 0.3923).

For the size of the total moment, the calculation gives 0.0 μB per cell. The uncorrected formation energy comes out at -0.246 eV per atom. Its density of states at the Fermi level is 28.4 states/eV per cell. Its density is 7.53 g cm⁻³.

The following is a PBE-GGA calculation of an optimized crystal structure of PrUCo4, from the Alexandria database.

It has space group F-43m (No. 216), with a = 7.109 Å, b = 7.109 Å, c = 7.109 Å, α = 90.00°, β = 90.00° and γ = 90.00°. The inequivalent atoms are Pr at (0.000, 0.000, 0.000), U at (0.250, 0.250, 0.750) and Co at (0.124, 0.124, 0.376).

For the size of the total moment, the calculation gives 1.1 μB per cell. For the formation energy, the calculation gives -0.015 eV per atom. Its density of states at the Fermi level is 34.5 states/eV per cell. The excess energy over the best structure of this formula in the dataset is 0.11 eV/f.u. Its density is 11.36 g cm⁻³.

Q: Among the records above, which one has the lowest size of the total moment?
A: Ce2AlSi3Ni12

Q: size of the total moment of number 2 (PrUCo4)?
A: 1.1 μB per cell

Q: What is the size of the total moment in the second record?
A: 1.1 μB per cell

Q: Which of these has the lowest size of the total moment?
A: Ce2AlSi3Ni12